Here is crystalline Pm9NdPb2 at its relaxed geometry from Alexandria. Energies are from GGA-PBE.

Cell and atoms, written as extended XYZ:
```
12
Lattice="-2.211 -4.368 -0.951 4.070 -1.528 -2.443 5.727 -5.761 13.145" Properties=species:S:1:pos:R:3 pbc="T T T"
Pb 1.934 -1.945 4.438
Pb 3.793 -3.816 8.706
Pm 2.875 -4.905 2.768
Nd 0.000 0.000 0.000
Pm -0.104 -3.191 1.822
Pm 6.761 -5.518 9.625
Pm 4.711 -6.752 6.983
Pm 0.930 -2.948 -1.697
Pm 3.036 -1.771 1.076
Pm 3.620 -6.938 10.371
Pm 4.899 -3.645 5.351
Pm 1.758 -5.064 6.097
```

E_form = -0.2021 eV/atom
DOS at the Fermi energy = 13.41 states/eV/f.u.


Here is crystalline Pm3Nd4Pb4 at its relaxed geometry from Alexandria. Energies are from GGA-PBE.

Cell and atoms, written as extended XYZ:
```
11
Lattice="-1.822 3.766 -3.250 -3.500 -0.584 1.286 5.316 10.772 13.818" Properties=species:S:1:pos:R:3 pbc="T T T"
Pm 0.124 8.431 9.699
Nd 1.396 6.501 6.750
Pb 0.776 9.738 6.530
Pm -0.129 5.523 2.154
Pb -2.417 2.729 0.199
Pb -0.782 4.216 5.323
Nd -1.255 2.011 3.034
Nd 1.249 11.943 8.819
Nd -1.402 7.453 5.103
Pm 0.000 0.000 0.000
Pb 2.411 11.225 11.654
```

E_form = -0.2468 eV/atom
DOS at the Fermi energy = 13.56 states/eV/f.u.


Here is crystalline Pm2NdPb2 at its relaxed geometry from Alexandria. Energies are from GGA-PBE.

Cell and atoms, written as extended XYZ:
```
10
Lattice="-4.027 1.785 -2.876 -0.066 -4.926 1.846 -6.026 4.226 11.060" Properties=species:S:1:pos:R:3 pbc="T T T"
Pm 0.000 0.000 0.000
Pm -7.226 2.718 6.993
Nd -1.507 1.057 2.765
Pb -5.135 -0.060 7.151
Pb -6.678 1.022 9.983
Pb -3.442 0.064 0.047
Pm -2.893 -1.632 3.037
Nd -4.520 3.170 8.295
Pm -3.013 2.113 5.530
Pb -4.985 1.146 2.879
```

E_form = -0.1746 eV/atom
DOS at the Fermi energy = 4.73 states/eV/f.u.


Here is crystalline PmNd2Pb2 at its relaxed geometry from Alexandria. Energies are from GGA-PBE.

Cell and atoms, written as extended XYZ:
```
10
Lattice="5.266 0.000 0.000 -2.633 4.560 0.000 0.001 0.001 13.350" Properties=species:S:1:pos:R:3 pbc="T T T"
Pm 0.001 0.001 10.013
Nd 0.000 0.000 0.000
Pb 2.633 1.520 5.032
Pb 2.633 1.520 1.643
Nd 0.000 0.001 6.675
Pb 0.000 3.041 8.318
Nd 2.633 1.521 10.012
Nd 0.000 3.041 3.337
Pb 0.001 3.041 11.707
Pm 0.000 0.000 3.338
```

Distance to the lowest polymorph of the same formula = 0.156 eV/atom
E_form = -0.1951 eV/atom
DOS at the Fermi energy = 4.66 states/eV/f.u.


Here is crystalline Pm3Nd5Pb2 at its relaxed geometry from Alexandria. Energies are from GGA-PBE.

Cell and atoms, written as extended XYZ:
```
20
Lattice="6.634 0.000 0.000 3.317 10.049 -2.362 3.317 0.389 10.316" Properties=species:S:1:pos:R:3 pbc="T T T"
Nd 3.317 5.832 1.188
Nd 4.975 2.627 2.002
Pm 6.634 6.603 -0.636
Pm 1.658 0.000 0.000
Pb 6.634 0.420 7.364
Nd 8.292 7.811 5.952
Pm 9.950 9.299 1.419
Pb 3.317 7.212 -1.549
Nd 8.292 2.627 2.002
Nd 6.634 2.694 5.308
Nd 8.292 5.219 3.977
Pm 3.317 1.139 6.535
Pb 9.950 3.227 9.503
Nd 6.634 7.745 2.646
Nd 4.975 5.219 3.977
Pb 6.634 10.018 0.590
Pm 6.634 3.836 8.589
Pm 4.975 0.000 0.000
Nd 4.975 7.811 5.952
Nd 9.950 4.607 6.765
```

E_form = 0.0106 eV/atom
DOS at the Fermi energy = 13.98 states/eV/f.u.


Here is crystalline PmNdPb3 at its relaxed geometry from Alexandria. Energies are from GGA-PBE.

Cell and atoms, written as extended XYZ:
```
10
Lattice="-5.329 3.102 -1.476 -0.277 -8.203 -2.195 -0.831 -1.578 6.210" Properties=species:S:1:pos:R:3 pbc="T T T"
Nd -2.287 -6.338 1.458
Pb -2.571 -5.542 -1.745
Pb -0.691 -0.307 1.452
Pm -1.245 -2.657 -0.762
Nd -4.151 -0.341 1.082
Pb -5.747 -6.373 1.088
Pb -3.866 -1.137 4.285
Pb -2.095 -3.182 2.396
Pm -5.192 -4.022 3.302
Pb -4.342 -3.497 0.144
```

E_form = -0.3942 eV/atom
DOS at the Fermi energy = 3.85 states/eV/f.u.


Here is crystalline PmNd2Pb2 at its relaxed geometry from Alexandria. Energies are from GGA-PBE.

Cell and atoms, written as extended XYZ:
```
10
Lattice="-6.246 -0.778 -1.689 0.158 -8.264 3.221 1.306 6.617 4.697" Properties=species:S:1:pos:R:3 pbc="T T T"
Pb -4.496 3.502 2.440
Pm -4.606 -4.715 0.344
Pb -0.287 -5.926 3.789
Pb -3.497 -1.739 1.161
Nd -1.140 -3.787 5.959
Nd -4.307 -1.873 4.216
Pm -1.483 -4.326 1.188
Pb -1.285 -0.685 5.068
Nd -3.643 1.363 0.271
Nd -0.476 -0.551 2.013
```

Distance to the lowest polymorph of the same formula = 0.000 eV/atom
E_form = -0.3512 eV/atom
DOS at the Fermi energy = 3.60 states/eV/f.u.


Here is crystalline Pm2Nd2Pb5 at its relaxed geometry from Alexandria. Energies are from GGA-PBE.

Cell and atoms, written as extended XYZ:
```
18
Lattice="7.598 0.000 0.000 0.000 9.728 0.000 -3.799 -4.864 7.915" Properties=species:S:1:pos:R:3 pbc="T T T"
Pb 1.642 -1.538 5.549
Pb -1.304 2.622 7.032
Nd 3.982 0.673 5.881
Pb 6.294 2.622 0.883
Pb 1.642 8.189 2.365
Nd -0.183 5.537 5.881
Pb 2.157 3.325 5.549
Pb -1.426 -1.389 3.957
Pb 2.157 3.325 2.365
Pb 5.103 7.486 0.883
Pm 3.799 4.610 0.000
Pb -2.495 -2.242 7.032
Nd -0.183 5.537 2.033
Pb 5.225 3.475 3.957
Pm 0.000 9.474 0.000
Pm 3.659 6.262 3.957
Nd 3.982 0.673 2.033
Pm 0.140 1.399 3.957
```

E_form = -0.3758 eV/atom
DOS at the Fermi energy = 5.31 states/eV/f.u.


Which value of DOS at the Fermi energy does entry 3 give?
4.73 states/eV/f.u.